AcGa2Pd | PBE | relaxed

Calculated values
As for the formation energy: -0.457 eV/atom. The polymorph energy (0 for the lowest one) is 246.6 meV/atom. For the total energy, the calculation gives -4.295 eV/atom.

abc: 3.466 3.466 7.188
angles: 90.00 90.00 90.00
Space group P4/mmm (No. 123)
One atom of each set of equivalent atoms:
Ac: 0.000 0.000 0.000
Ga: 0.500 0.500 0.316
Pd: 0.000 0.000 0.500